## SrCaTbCoO6 (PBE+U)

Data for a geometry-optimized SrCaTbCoO6 structure.

Results
Energy   -6.437 eV per atom
Symmetry   F-43m (216)

Structure (POSCAR):
```
SrCaTbCoO6
1.0
0.0000 4.0304 4.0304
4.0304 0.0000 4.0304
4.0304 4.0304 0.0000
Co O Sr Tb Ca
1 6 1 1 1
direct
0.0000 0.0000 0.0000
0.2290 0.7710 0.2290
0.7710 0.2290 0.7710
0.2290 0.7710 0.7710
0.7710 0.7710 0.2290
0.7710 0.2290 0.2290
0.2290 0.2290 0.7710
0.7500 0.7500 0.7500
0.5000 0.5000 0.5000
0.2500 0.2500 0.2500
```